# La15Pr2Tm2

An optimized crystal structure of La15Pr2Tm2 (PBE-GGA, Alexandria via LeMat-Bulk).

Properties
**Crystal system**: trigonal
**Electronic total energy**: -4.658 eV per atom
**Total moment**: 0.000 Bohr magnetons per cell

Unit cell a=9.020 b=9.020 c=9.020 alpha=79.01 beta=79.01 gamma=79.01
Sites, in units of the cell vectors:
La 0.000 0.000 0.500
La 0.000 0.294 0.706
La 0.000 0.500 0.000
La 0.000 0.706 0.294
La 0.155 0.624 0.624
La 0.294 0.000 0.706
La 0.294 0.706 0.000
La 0.376 0.376 0.845
La 0.376 0.845 0.376
La 0.500 0.000 0.000
La 0.624 0.155 0.624
La 0.624 0.624 0.155
La 0.706 0.000 0.294
La 0.706 0.294 0.000
La 0.845 0.376 0.376
Pr 0.311 0.311 0.311
Pr 0.689 0.689 0.689
Tm 0.092 0.092 0.092
Tm 0.908 0.908 0.908


# LaCoI2N

An optimized crystal structure of LaCoI2N (PBE-GGA, Alexandria via LeMat-Bulk).

Properties
**Crystal system**: tetragonal
**Total moment**: 2.644 Bohr magnetons per cell
**Energy above the most stable polymorph in this dataset**: 2.53 eV per formula unit
**Uncorrected formation energy**: 175 kJ/mol of formula units

Unit cell a=6.452 b=6.452 c=4.150 alpha=90.00 beta=90.00 gamma=90.00
Sites, in units of the cell vectors:
La 0.000 0.000 0.000
Co 0.500 0.500 0.500
I 0.000 0.500 0.000
I 0.500 0.000 0.000
N 0.000 0.000 0.500


# HfSnOs2

An optimized crystal structure of HfSnOs2 (PBE-GGA, Alexandria via LeMat-Bulk).

Properties
**Crystal system**: tetragonal
**Electronic total energy**: -9.337 eV per atom
**Total moment**: 0.000 Bohr magnetons per cell

Unit cell a=4.536 b=4.536 c=3.306 alpha=90.00 beta=90.00 gamma=90.00
Sites, in units of the cell vectors:
Hf 0.000 0.000 0.000
Sn 0.500 0.500 0.000
Os 0.000 0.500 0.500
Os 0.500 0.000 0.500